1.
! LaZrCl2 (PBE, relaxed); values from VASP
&SYSTEM
  ibrav = 0, nat = 12, ntyp = 3
/
ATOMIC_SPECIES
La 138.91 La.upf
Zr 91.22 Zr.upf
Cl 35.45 Cl.upf
CELL_PARAMETERS angstrom
3.4770 0.0000 0.0000
-1.7385 3.0111 0.0000
0.0000 0.0000 28.5324
ATOMIC_POSITIONS angstrom
La 0.0000 0.0000 0.0000
La 0.0000 2.0074 19.0216
La 1.7385 1.0037 9.5108
Zr 0.0000 0.0000 14.2662
Zr 0.0000 2.0074 4.7554
Zr 1.7385 1.0037 23.7770
Cl 0.0000 0.0000 11.6685
Cl 0.0000 0.0000 16.8639
Cl 0.0000 2.0074 2.1577
Cl 0.0000 2.0074 7.3531
Cl 1.7385 1.0037 21.1793
Cl 1.7385 1.0037 26.3747
! Space group ... No. 166
! ΔE to the lowest computed polymorph ... 0.069 eV per atom
! DOS(E_F) ... 4.041 states/eV/f.u.
! Total magnetization ... 1.00 μB per formula unit
! E_form (uncorrected) ... -1068 meV/atom



2.
! LaZrCl2 (PBE, relaxed); values from VASP
&SYSTEM
  ibrav = 0, nat = 8, ntyp = 3
/
ATOMIC_SPECIES
La 138.91 La.upf
Zr 91.22 Zr.upf
Cl 35.45 Cl.upf
CELL_PARAMETERS angstrom
3.9855 0.0000 0.0000
0.0000 3.9855 0.0000
0.0000 0.0000 12.4035
ATOMIC_POSITIONS angstrom
La 0.0000 0.0000 0.0000
La 1.9928 1.9928 6.2018
Zr 0.0000 1.9928 9.3026
Zr 1.9928 0.0000 3.1009
Cl 0.0000 0.0000 6.2018
Cl 0.0000 1.9928 3.1009
Cl 1.9928 0.0000 9.3026
Cl 1.9928 1.9928 0.0000
! Space group ... No. 119
! ΔE to the lowest computed polymorph ... 0.430 eV per atom
! DOS(E_F) ... 4.589 states/eV/f.u.
! Total magnetization ... 1.54 μB per formula unit
! E_form (uncorrected) ... -707 meV/atom



3.
! LaZrCl2 (PBE, relaxed); values from VASP
&SYSTEM
  ibrav = 0, nat = 8, ntyp = 3
/
ATOMIC_SPECIES
La 138.91 La.upf
Zr 91.22 Zr.upf
Cl 35.45 Cl.upf
CELL_PARAMETERS angstrom
8.6203 0.0000 0.0000
0.0000 3.4446 0.0000
-1.3523 0.0000 5.9814
ATOMIC_POSITIONS angstrom
La 0.0000 0.0000 0.0000
La 4.3101 1.7223 0.0000
Zr -0.6761 1.7223 2.9907
Zr 3.6340 0.0000 2.9907
Cl 1.1375 0.0000 4.2751
Cl 1.8204 1.7223 1.7063
Cl 5.4477 1.7223 4.2751
Cl 6.1305 0.0000 1.7063
! Space group ... No. 12
! ΔE to the lowest computed polymorph ... 0.114 eV per atom
! DOS(E_F) ... 2.788 states/eV/f.u.
! Total magnetization ... 0.00 μB per formula unit
! E_form (uncorrected) ... -1023 meV/atom



4.
! LaZrCl2 (PBE, relaxed); values from VASP
&SYSTEM
  ibrav = 0, nat = 8, ntyp = 3
/
ATOMIC_SPECIES
La 138.91 La.upf
Zr 91.22 Zr.upf
Cl 35.45 Cl.upf
CELL_PARAMETERS angstrom
7.5039 0.0000 0.0000
0.0000 4.3407 0.0000
-2.5067 0.0000 5.3797
ATOMIC_POSITIONS angstrom
La 0.0000 0.0000 0.0000
La 3.7519 2.1703 0.0000
Zr -1.2533 2.1703 2.6899
Zr 2.4986 0.0000 2.6899
Cl -0.0037 0.0000 3.7095
Cl 1.2489 2.1703 1.6703
Cl 3.7483 2.1703 3.7095
Cl 5.0009 0.0000 1.6703
! Space group ... No. 12
! ΔE to the lowest computed polymorph ... 0.224 eV per atom
! DOS(E_F) ... 4.034 states/eV/f.u.
! Total magnetization ... 0.00 μB per formula unit
! E_form (uncorrected) ... -913 meV/atom



5.
! LaZrCl3 (PBE, relaxed); values from VASP
&SYSTEM
  ibrav = 0, nat = 5, ntyp = 3
/
ATOMIC_SPECIES
La 138.91 La.upf
Zr 91.22 Zr.upf
Cl 35.45 Cl.upf
CELL_PARAMETERS angstrom
5.0211 0.0000 0.0000
0.0000 5.0211 0.0000
0.0000 0.0000 5.0211
ATOMIC_POSITIONS angstrom
La 0.0000 0.0000 0.0000
Zr 2.5106 2.5106 2.5106
Cl 0.0000 2.5106 2.5106
Cl 2.5106 0.0000 2.5106
Cl 2.5106 2.5106 0.0000
! Space group ... No. 221
! ΔE to the lowest computed polymorph ... 0.000 eV per atom
! DOS(E_F) ... 7.785 states/eV/f.u.
! Total magnetization ... 1.18 μB per formula unit
! E_form (uncorrected) ... -950 meV/atom



6.
! LaZrCl2 (PBE, relaxed); values from VASP
&SYSTEM
  ibrav = 0, nat = 16, ntyp = 3
/
ATOMIC_SPECIES
La 138.91 La.upf
Zr 91.22 Zr.upf
Cl 35.45 Cl.upf
CELL_PARAMETERS angstrom
7.5517 0.0000 0.0000
0.0000 7.5517 0.0000
0.0000 0.0000 7.5517
ATOMIC_POSITIONS angstrom
La 0.0000 0.0000 0.0000
La 0.0000 3.7759 3.7759
La 3.7759 0.0000 3.7759
La 3.7759 3.7759 0.0000
Zr 1.8879 1.8879 1.8879
Zr 1.8879 5.6638 5.6638
Zr 5.6638 1.8879 5.6638
Zr 5.6638 5.6638 1.8879
Cl 0.0000 0.0000 3.7759
Cl 0.0000 3.7759 0.0000
Cl 1.8879 1.8879 5.6638
Cl 1.8879 5.6638 1.8879
Cl 3.7759 0.0000 0.0000
Cl 3.7759 3.7759 3.7759
Cl 5.6638 1.8879 1.8879
Cl 5.6638 5.6638 5.6638
! Space group ... No. 216
! ΔE to the lowest computed polymorph ... 0.871 eV per atom
! DOS(E_F) ... 2.824 states/eV/f.u.
! Total magnetization ... 4.99 μB per formula unit
! E_form (uncorrected) ... -266 meV/atom



7.
! LaZrCl2 (PBE, relaxed); values from VASP
&SYSTEM
  ibrav = 0, nat = 4, ntyp = 3
/
ATOMIC_SPECIES
La 138.91 La.upf
Zr 91.22 Zr.upf
Cl 35.45 Cl.upf
CELL_PARAMETERS angstrom
3.4602 0.0000 0.0000
0.0000 5.0780 0.0000
-1.7234 0.0000 5.3490
ATOMIC_POSITIONS angstrom
La 0.0000 0.0000 0.0000
Zr 1.7288 2.5390 1.7549
Cl 0.0000 2.5390 3.9906
Cl 1.7291 0.0000 2.3471
! Space group ... No. 6
! ΔE to the lowest computed polymorph ... 0.133 eV per atom
! DOS(E_F) ... 3.110 states/eV/f.u.
! Total magnetization ... 0.00 μB per formula unit
! E_form (uncorrected) ... -1004 meV/atom



8.
! LaZr2Cl2 (PBE, relaxed); values from VASP
&SYSTEM
  ibrav = 0, nat = 10, ntyp = 3
/
ATOMIC_SPECIES
La 138.91 La.upf
Zr 91.22 Zr.upf
Cl 35.45 Cl.upf
CELL_PARAMETERS angstrom
4.2123 0.0000 0.0000
0.0000 4.2123 0.0000
0.0000 0.0000 13.0452
ATOMIC_POSITIONS angstrom
La 0.0000 0.0000 0.0000
La 2.1062 2.1062 6.5226
Zr 0.0000 2.1062 3.2613
Zr 0.0000 2.1062 9.7839
Zr 2.1062 0.0000 3.2613
Zr 2.1062 0.0000 9.7839
Cl 0.0000 0.0000 5.0016
Cl 0.0000 0.0000 8.0435
Cl 2.1062 2.1062 1.5209
Cl 2.1062 2.1062 11.5242
! Space group ... No. 139
! DOS(E_F) ... 4.235 states/eV/f.u.
! Total magnetization ... 0.00 μB per formula unit
! E_form (uncorrected) ... -559 meV/atom



9.
! LaZrCl2 (PBE, relaxed); values from VASP
&SYSTEM
  ibrav = 0, nat = 8, ntyp = 3
/
ATOMIC_SPECIES
La 138.91 La.upf
Zr 91.22 Zr.upf
Cl 35.45 Cl.upf
CELL_PARAMETERS angstrom
4.2425 0.0000 0.0000
0.0000 5.5230 0.0000
0.0000 0.0000 9.6690
ATOMIC_POSITIONS angstrom
La 0.0000 0.0000 0.0000
La 2.1212 2.7615 0.0000
Zr 0.0000 2.7615 2.5985
Zr 2.1212 0.0000 2.5985
Cl 0.0000 0.0000 4.1876
Cl 0.0000 2.7615 7.7732
Cl 2.1212 0.0000 7.7732
Cl 2.1212 2.7615 4.1876
! Space group ... No. 35
! ΔE to the lowest computed polymorph ... 0.043 eV per atom
! DOS(E_F) ... 1.523 states/eV/f.u.
! Total magnetization ... 0.00 μB per formula unit
! E_form (uncorrected) ... -1094 meV/atom



10.
! LaZrCl2 (PBE, relaxed); values from VASP
&SYSTEM
  ibrav = 0, nat = 8, ntyp = 3
/
ATOMIC_SPECIES
La 138.91 La.upf
Zr 91.22 Zr.upf
Cl 35.45 Cl.upf
CELL_PARAMETERS angstrom
3.2738 0.0000 0.0000
0.0000 6.3494 0.0000
0.0000 0.0000 9.2985
ATOMIC_POSITIONS angstrom
La 0.0000 0.0000 0.0000
La 1.6369 3.1747 0.0000
Zr 0.0000 0.0000 4.6493
Zr 1.6369 3.1747 4.6493
Cl 0.0000 3.1747 2.5070
Cl 0.0000 3.1747 6.7915
Cl 1.6369 0.0000 2.5070
Cl 1.6369 0.0000 6.7915
! Space group ... No. 65
! ΔE to the lowest computed polymorph ... 0.187 eV per atom
! DOS(E_F) ... 2.903 states/eV/f.u.
! Total magnetization ... 0.00 μB per formula unit
! E_form (uncorrected) ... -950 meV/atom



11.
! LaZrCl2 (PBE, relaxed); values from VASP
&SYSTEM
  ibrav = 0, nat = 4, ntyp = 3
/
ATOMIC_SPECIES
La 138.91 La.upf
Zr 91.22 Zr.upf
Cl 35.45 Cl.upf
CELL_PARAMETERS angstrom
3.3211 0.0000 0.0000
0.0000 4.6828 0.0000
0.0000 0.0000 6.3121
ATOMIC_POSITIONS angstrom
La 0.0000 0.0000 0.0000
Zr 1.6605 0.0000 3.1560
Cl 0.0000 2.3414 3.1560
Cl 1.6605 2.3414 0.0000
! Space group ... No. 47
! ΔE to the lowest computed polymorph ... 0.211 eV per atom
! DOS(E_F) ... 3.910 states/eV/f.u.
! Total magnetization ... 0.00 μB per formula unit
! E_form (uncorrected) ... -926 meV/atom



12.
! LaZrCl2 (PBE, relaxed); values from VASP
&SYSTEM
  ibrav = 0, nat = 4, ntyp = 3
/
ATOMIC_SPECIES
La 138.91 La.upf
Zr 91.22 Zr.upf
Cl 35.45 Cl.upf
CELL_PARAMETERS angstrom
3.6291 0.0000 0.0000
0.0000 3.6291 0.0000
0.0000 0.0000 7.2899
ATOMIC_POSITIONS angstrom
La 0.0000 0.0000 0.0000
Zr 1.8146 1.8146 2.4380
Cl 0.0000 0.0000 3.1608
Cl 1.8146 1.8146 5.3573
! Space group ... No. 99
! ΔE to the lowest computed polymorph ... 0.000 eV per atom
! DOS(E_F) ... 2.154 states/eV/f.u.
! Total magnetization ... 0.00 μB per formula unit
! E_form (uncorrected) ... -1137 meV/atom



13.
! LaZrCl2 (PBE, relaxed); values from VASP
&SYSTEM
  ibrav = 0, nat = 4, ntyp = 3
/
ATOMIC_SPECIES
La 138.91 La.upf
Zr 91.22 Zr.upf
Cl 35.45 Cl.upf
CELL_PARAMETERS angstrom
4.9323 0.0000 0.0000
0.0000 4.9323 0.0000
0.0000 0.0000 3.5328
ATOMIC_POSITIONS angstrom
La 0.0000 0.0000 0.0000
Zr 2.4662 2.4662 0.0000
Cl 0.0000 2.4662 1.7664
Cl 2.4662 0.0000 1.7664
! Space group ... No. 123
! ΔE to the lowest computed polymorph ... 0.406 eV per atom
! DOS(E_F) ... 3.836 states/eV/f.u.
! Total magnetization ... 0.00 μB per formula unit
! E_form (uncorrected) ... -731 meV/atom



14.
! LaZr4Cl (PBE, relaxed); values from VASP
&SYSTEM
  ibrav = 0, nat = 6, ntyp = 3
/
ATOMIC_SPECIES
La 138.91 La.upf
Zr 91.22 Zr.upf
Cl 35.45 Cl.upf
CELL_PARAMETERS angstrom
0.0000 4.3128 4.3128
4.3128 0.0000 4.3128
4.3128 4.3128 0.0000
ATOMIC_POSITIONS angstrom
La 0.0000 0.0000 0.0000
Zr 5.4370 3.1886 3.1886
Zr 3.1886 5.4370 3.1886
Zr 3.1886 3.1886 5.4370
Zr 5.4370 5.4370 5.4370
Cl 2.1564 2.1564 2.1564
! Space group ... No. 216
! DOS(E_F) ... 8.457 states/eV/f.u.
! Total magnetization ... 0.00 μB per formula unit
! E_form (uncorrected) ... 398 meV/atom



15.
! LaZrCl4 (PBE, relaxed); values from VASP
&SYSTEM
  ibrav = 0, nat = 6, ntyp = 3
/
ATOMIC_SPECIES
La 138.91 La.upf
Zr 91.22 Zr.upf
Cl 35.45 Cl.upf
CELL_PARAMETERS angstrom
0.0000 4.1835 4.1835
4.1835 0.0000 4.1835
4.1835 4.1835 0.0000
ATOMIC_POSITIONS angstrom
La 0.0000 0.0000 0.0000
Zr 6.2753 6.2753 6.2753
Cl 3.1396 3.1396 3.1396
Cl 5.2274 5.2274 3.1396
Cl 5.2274 3.1396 5.2274
Cl 3.1396 5.2274 5.2274
! Space group ... No. 216
! DOS(E_F) ... 6.941 states/eV/f.u.
! Total magnetization ... 3.11 μB per formula unit
! E_form (uncorrected) ... -306 meV/atom



16.
! LaZrCl2 (PBE, relaxed); values from VASP
&SYSTEM
  ibrav = 0, nat = 16, ntyp = 3
/
ATOMIC_SPECIES
La 138.91 La.upf
Zr 91.22 Zr.upf
Cl 35.45 Cl.upf
CELL_PARAMETERS angstrom
4.8063 0.0000 0.0000
0.0000 4.8063 0.0000
0.0000 0.0000 17.8365
ATOMIC_POSITIONS angstrom
La 0.0000 0.0000 0.0000
La 0.0000 2.4032 4.4591
La 2.4032 0.0000 13.3773
La 2.4032 2.4032 8.9182
Zr 0.0000 0.0000 8.9182
Zr 0.0000 2.4032 13.3773
Zr 2.4032 0.0000 4.4591
Zr 2.4032 2.4032 0.0000
Cl 1.0313 1.2016 11.1478
Cl 1.2016 3.4344 15.6069
Cl 1.2016 3.7751 6.6887
Cl 1.3719 1.2016 2.2296
Cl 3.4344 3.6047 2.2296
Cl 3.6047 1.0313 6.6887
Cl 3.6047 1.3719 15.6069
Cl 3.7751 3.6047 11.1478
! Space group ... No. 122
! ΔE to the lowest computed polymorph ... 0.254 eV per atom
! DOS(E_F) ... 3.037 states/eV/f.u.
! Total magnetization ... 0.00 μB per formula unit
! E_form (uncorrected) ... -883 meV/atom



17.
! LaZrCl2 (PBE, relaxed); values from VASP
&SYSTEM
  ibrav = 0, nat = 4, ntyp = 3
/
ATOMIC_SPECIES
La 138.91 La.upf
Zr 91.22 Zr.upf
Cl 35.45 Cl.upf
CELL_PARAMETERS angstrom
3.4423 0.0000 0.0000
0.0000 4.4496 0.0000
-0.0008 0.0000 6.1011
ATOMIC_POSITIONS angstrom
La 0.0000 0.0000 0.0000
Zr 1.7208 0.0000 3.0506
Cl 1.7128 2.2248 1.5373
Cl 1.7288 2.2248 4.5639
! Space group ... No. 10
! ΔE to the lowest computed polymorph ... 0.121 eV per atom
! DOS(E_F) ... 2.781 states/eV/f.u.
! Total magnetization ... 0.00 μB per formula unit
! E_form (uncorrected) ... -1016 meV/atom



18.
! La2ZrCl2 (PBE, relaxed); values from VASP
&SYSTEM
  ibrav = 0, nat = 10, ntyp = 3
/
ATOMIC_SPECIES
La 138.91 La.upf
Zr 91.22 Zr.upf
Cl 35.45 Cl.upf
CELL_PARAMETERS angstrom
8.8099 0.0000 0.0000
0.0000 8.8099 0.0000
0.0000 0.0000 3.3841
ATOMIC_POSITIONS angstrom
La 1.5930 2.8119 0.0000
La 2.8119 7.2169 0.0000
La 5.9980 1.5930 0.0000
La 7.2169 5.9980 0.0000
Zr 0.0000 0.0000 0.0000
Zr 4.4050 4.4050 0.0000
Cl 1.0516 5.4566 1.6921
Cl 3.3534 1.0516 1.6921
Cl 5.4566 7.7583 1.6921
Cl 7.7583 3.3534 1.6921
! Space group ... No. 127
! ΔE to the lowest computed polymorph ... 0.168 eV per atom
! DOS(E_F) ... 5.875 states/eV/f.u.
! Total magnetization ... 1.60 μB per formula unit
! E_form (uncorrected) ... -628 meV/atom



19.
! LaZrCl2 (PBE, relaxed); values from VASP
&SYSTEM
  ibrav = 0, nat = 8, ntyp = 3
/
ATOMIC_SPECIES
La 138.91 La.upf
Zr 91.22 Zr.upf
Cl 35.45 Cl.upf
CELL_PARAMETERS angstrom
13.6740 0.0000 0.0000
0.0000 3.3607 0.0000
-1.2594 0.0000 4.3369
ATOMIC_POSITIONS angstrom
La 0.0000 0.0000 0.0000
La 6.8370 1.6804 0.0000
Zr 1.5558 1.6804 3.0994
Zr 8.3928 0.0000 3.0994
Cl 2.7393 0.0000 1.0068
Cl 5.9300 0.0000 2.0986
Cl 9.5763 1.6804 1.0068
Cl 12.7670 1.6804 2.0986
! Space group ... No. 8
! ΔE to the lowest computed polymorph ... 0.242 eV per atom
! DOS(E_F) ... 3.785 states/eV/f.u.
! Total magnetization ... 0.00 μB per formula unit
! E_form (uncorrected) ... -895 meV/atom



20.
! LaZrCl3 (PBE, relaxed); values from VASP
&SYSTEM
  ibrav = 0, nat = 5, ntyp = 3
/
ATOMIC_SPECIES
La 138.91 La.upf
Zr 91.22 Zr.upf
Cl 35.45 Cl.upf
CELL_PARAMETERS angstrom
5.5937 0.0000 0.0000
0.0000 5.5937 0.0000
0.0000 0.0000 5.5937
ATOMIC_POSITIONS angstrom
La 0.0000 0.0000 0.0000
Zr 2.7968 2.7968 2.7968
Cl 0.0000 0.0000 2.7968
Cl 0.0000 2.7968 0.0000
Cl 2.7968 0.0000 0.0000
! Space group ... No. 221
! ΔE to the lowest computed polymorph ... 0.208 eV per atom
! DOS(E_F) ... 3.043 states/eV/f.u.
! Total magnetization ... 3.88 μB per formula unit
! E_form (uncorrected) ... -742 meV/atom